Entry 1:
{"formula": "Zr3GaCu", "functional": "PBE-GGA", "state": "optimized geometry", "formation_enthalpy_0k_ev_per_atom": 0.36, "final_energy_ev_per_atom": -6.20, "lattice_angstrom": [[-0.933, -1.136, -4.654], [1.481, -4.578, 0.820], [-4.556, -1.255, 1.219]], "species": ["Ga", "Zr", "Zr", "Zr", "Cu"], "fractional_positions": [[0.500, 0.500, 0.500], [0.000, 0.500, 0.000], [0.000, 0.000, 0.500], [0.500, 0.000, 0.000], [0.000, 0.000, 0.000]]}

=====

Entry 2:
{"formula": "Zr4GaCu", "functional": "PBE-GGA", "state": "optimized geometry", "formation_enthalpy_0k_ev_per_atom": -0.28, "final_energy_ev_per_atom": -7.17, "lattice_angstrom": [[-3.282, -2.269, 3.759], [5.035, -1.739, -1.295], [1.010, 4.928, 2.180]], "species": ["Zr", "Zr", "Zr", "Zr", "Cu", "Ga"], "fractional_positions": [[0.596, 0.096, 0.191], [0.096, 0.904, 0.500], [0.404, 0.596, 0.500], [0.904, 0.404, 0.809], [0.500, 0.500, 0.000], [0.000, 0.000, 0.000]]}

=====

Entry 3:
{"formula": "Zr3Ga2Cu9", "functional": "PBE-GGA", "state": "optimized geometry", "formation_enthalpy_0k_ev_per_atom": -0.15, "final_energy_ev_per_atom": -5.05, "lattice_angstrom": [[4.161, 0.000, 0.000], [2.080, 7.300, 0.450], [2.080, 2.093, 7.008]], "species": ["Cu", "Cu", "Cu", "Cu", "Cu", "Cu", "Cu", "Cu", "Cu", "Ga", "Ga", "Zr", "Zr", "Zr"], "fractional_positions": [[0.862, 0.425, 0.852], [0.862, 0.852, 0.425], [0.339, 0.019, 0.302], [0.661, 0.698, 0.981], [0.661, 0.981, 0.698], [0.339, 0.302, 0.019], [0.138, 0.148, 0.575], [0.138, 0.575, 0.148], [0.000, 0.500, 0.500], [0.500, 0.681, 0.319], [0.500, 0.319, 0.681], [0.000, 0.000, 0.000], [0.287, 0.713, 0.713], [0.713, 0.287, 0.287]]}

=====

Entry 4:
{"formula": "Zr4Ga3Cu", "functional": "PBE-GGA", "state": "optimized geometry", "formation_enthalpy_0k_ev_per_atom": -0.47, "final_energy_ev_per_atom": -6.39, "lattice_angstrom": [[-2.668, -2.410, 1.312], [2.329, -3.016, -0.804], [4.077, 0.629, 9.444]], "species": ["Ga", "Ga", "Ga", "Zr", "Zr", "Zr", "Zr", "Cu"], "fractional_positions": [[0.500, 0.000, 0.923], [0.000, 0.500, 0.580], [0.000, 0.000, 0.420], [0.500, 0.000, 0.647], [0.000, 0.500, 0.856], [0.500, 0.500, 0.351], [0.000, 0.000, 0.146], [0.500, 0.500, 0.078]]}

=====

Entry 5:
{"formula": "Zr6GaCu5", "functional": "PBE-GGA", "state": "optimized geometry", "formation_enthalpy_0k_ev_per_atom": -0.18, "final_energy_ev_per_atom": -6.41, "lattice_angstrom": [[4.461, 0.019, -1.302], [-0.904, 5.786, -3.013], [-0.071, 0.436, 8.056]], "species": ["Zr", "Zr", "Zr", "Zr", "Zr", "Zr", "Cu", "Cu", "Cu", "Cu", "Cu", "Ga"], "fractional_positions": [[0.500, 0.747, 0.000], [0.500, 0.253, 0.000], [0.832, 0.083, 0.664], [0.168, 0.917, 0.336], [0.168, 0.419, 0.336], [0.832, 0.581, 0.664], [0.333, 0.833, 0.667], [0.000, 0.500, 0.000], [0.666, 0.666, 0.332], [0.667, 0.167, 0.333], [0.334, 0.334, 0.668], [0.000, 0.000, 0.000]]}

=====

Entry 6:
{"formula": "ZrGaCu5", "functional": "PBE-GGA", "state": "optimized geometry", "formation_enthalpy_0k_ev_per_atom": -0.15, "final_energy_ev_per_atom": -4.73, "lattice_angstrom": [[4.894, 0.000, 0.000], [0.000, 7.890, 0.000], [0.000, 0.000, 10.110]], "species": ["Cu", "Cu", "Cu", "Cu", "Cu", "Cu", "Cu", "Cu", "Cu", "Cu", "Cu", "Cu", "Cu", "Cu", "Cu", "Cu", "Cu", "Cu", "Cu", "Cu", "Zr", "Zr", "Zr", "Zr", "Ga", "Ga", "Ga", "Ga"], "fractional_positions": [[0.006, 0.566, 0.807], [0.494, 0.066, 0.693], [0.250, 0.439, 0.415], [0.250, 0.184, 0.247], [0.494, 0.566, 0.807], [0.750, 0.816, 0.753], [0.750, 0.061, 0.915], [0.994, 0.934, 0.307], [0.506, 0.934, 0.307], [0.250, 0.094, 0.482], [0.750, 0.561, 0.585], [0.006, 0.066, 0.693], [0.750, 0.906, 0.518], [0.250, 0.684, 0.253], [0.994, 0.434, 0.193], [0.250, 0.594, 0.018], [0.750, 0.316, 0.747], [0.506, 0.434, 0.193], [0.750, 0.406, 0.982], [0.250, 0.939, 0.085], [0.750, 0.252, 0.437], [0.750, 0.752, 0.063], [0.250, 0.748, 0.563], [0.250, 0.248, 0.937], [0.750, 0.643, 0.352], [0.250, 0.857, 0.852], [0.750, 0.143, 0.148], [0.250, 0.357, 0.648]]}

=====

Entry 7:
{"formula": "ZrGa2Cu2", "functional": "PBE-GGA", "state": "optimized geometry", "formation_enthalpy_0k_ev_per_atom": -0.17, "final_energy_ev_per_atom": -4.73, "lattice_angstrom": [[-0.412, 7.484, -0.161], [-7.113, -0.341, 2.345], [0.855, 0.103, 2.608]], "species": ["Cu", "Cu", "Cu", "Cu", "Zr", "Zr", "Ga", "Ga", "Ga", "Ga"], "fractional_positions": [[0.161, 0.661, 0.500], [0.661, 0.839, 0.500], [0.839, 0.339, 0.500], [0.339, 0.161, 0.500], [0.000, 0.000, 0.000], [0.500, 0.500, 0.000], [0.636, 0.136, 0.000], [0.864, 0.636, 0.000], [0.364, 0.864, 0.000], [0.136, 0.364, 0.000]]}

=====

Entry 8:
{"formula": "GdCu2", "functional": "PBE-GGA", "state": "optimized geometry", "formation_enthalpy_0k_ev_per_atom": -0.14, "final_energy_ev_per_atom": -7.56, "lattice_angstrom": [[5.295, 0.000, 0.000], [2.648, 4.586, 0.000], [2.648, 1.529, 4.324]], "species": ["Cu", "Cu", "Cu", "Cu", "Gd", "Gd"], "fractional_positions": [[0.125, 0.625, 0.625], [0.625, 0.625, 0.625], [0.625, 0.125, 0.625], [0.625, 0.625, 0.125], [0.250, 0.250, 0.250], [0.000, 0.000, 0.000]]}

=====

Entry 9:
{"formula": "GdCu", "functional": "PBE-GGA", "state": "optimized geometry", "formation_enthalpy_0k_ev_per_atom": -0.01, "final_energy_ev_per_atom": -9.10, "lattice_angstrom": [[-1.594, 3.471, -1.488], [-1.600, 0.068, -3.773], [-4.054, 0.343, -0.501]], "species": ["Gd", "Cu"], "fractional_positions": [[0.000, 0.000, 0.000], [0.500, 0.500, 0.500]]}

=====

Entry 10:
{"formula": "GdCu", "functional": "PBE-GGA", "state": "optimized geometry", "formation_enthalpy_0k_ev_per_atom": -0.21, "final_energy_ev_per_atom": -9.30, "lattice_angstrom": [[3.506, 0.000, 0.000], [0.000, 3.506, 0.000], [0.000, 0.000, 3.506]], "species": ["Gd", "Cu"], "fractional_positions": [[0.000, 0.000, 0.000], [0.500, 0.500, 0.500]]}

=====

Entry 11:
{"formula": "GdCu", "functional": "PBE-GGA", "state": "optimized geometry", "formation_enthalpy_0k_ev_per_atom": -0.23, "final_energy_ev_per_atom": -9.31, "lattice_angstrom": [[-3.604, 1.013, -0.883], [-1.180, -0.459, 4.287], [2.993, 4.483, 1.304]], "species": ["Cu", "Cu", "Gd", "Gd"], "fractional_positions": [[0.068, 0.750, 0.138], [0.932, 0.250, 0.862], [0.641, 0.250, 0.282], [0.359, 0.750, 0.718]]}

=====

Entry 12:
{"formula": "GdCu3", "functional": "PBE-GGA", "state": "optimized geometry", "formation_enthalpy_0k_ev_per_atom": 0.04, "final_energy_ev_per_atom": -6.55, "lattice_angstrom": [[-1.938, -2.428, -0.462], [0.205, -0.891, 3.822], [-4.445, 3.354, 1.020]], "species": ["Cu", "Cu", "Cu", "Gd"], "fractional_positions": [[0.500, 0.500, 0.852], [0.000, 0.000, 0.918], [0.500, 0.000, 0.582], [0.000, 0.500, 0.314]]}

=====

Entry 13:
{"formula": "GdCu2", "functional": "PBE-GGA", "state": "optimized geometry", "formation_enthalpy_0k_ev_per_atom": -0.25, "final_energy_ev_per_atom": -7.67, "lattice_angstrom": [[-2.954, 2.204, 2.269], [-4.524, -2.936, 1.114], [0.424, -0.756, 5.439]], "species": ["Gd", "Gd", "Cu", "Cu", "Cu", "Cu"], "fractional_positions": [[0.457, 0.793, 0.293], [0.543, 0.207, 0.707], [0.835, 0.612, 0.717], [0.165, 0.783, 0.888], [0.165, 0.388, 0.283], [0.835, 0.217, 0.112]]}

=====

Entry 14:
{"formula": "Gd3Cu4Ge4", "functional": "PBE-GGA", "state": "optimized geometry", "formation_enthalpy_0k_ev_per_atom": -0.62, "final_energy_ev_per_atom": -7.63, "lattice_angstrom": [[-8.040, -0.304, -0.701], [-4.299, -5.795, 3.628], [5.041, 6.288, 0.528]], "species": ["Ge", "Ge", "Ge", "Ge", "Gd", "Gd", "Gd", "Cu", "Cu", "Cu", "Cu"], "fractional_positions": [[0.283, 0.783, 0.500], [0.809, 0.500, 0.309], [0.191, 0.500, 0.691], [0.717, 0.217, 0.500], [0.131, 0.131, 0.000], [0.500, 0.000, 0.500], [0.869, 0.869, 0.000], [0.480, 0.668, 0.812], [0.856, 0.668, 0.188], [0.144, 0.332, 0.812], [0.520, 0.332, 0.188]]}

=====

Entry 15:
{"formula": "GdCuGe", "functional": "PBE-GGA", "state": "optimized geometry", "formation_enthalpy_0k_ev_per_atom": -0.68, "final_energy_ev_per_atom": -8.28, "lattice_angstrom": [[-3.383, 1.434, -2.153], [1.082, -4.113, -0.227], [-4.423, -1.492, 5.958]], "species": ["Cu", "Cu", "Gd", "Gd", "Ge", "Ge"], "fractional_positions": [[0.667, 0.333, 0.018], [0.333, 0.667, 0.518], [0.000, 0.000, 0.764], [0.000, 0.000, 0.264], [0.667, 0.333, 0.509], [0.333, 0.667, 0.009]]}

=====

Entry 16:
{"formula": "GdCuGe", "functional": "PBE-GGA", "state": "optimized geometry", "formation_enthalpy_0k_ev_per_atom": -0.64, "final_energy_ev_per_atom": -8.24, "lattice_angstrom": [[3.838, 0.000, 0.000], [0.000, 4.235, 0.000], [0.000, -2.118, 3.668]], "species": ["Cu", "Ge", "Gd"], "fractional_positions": [[0.167, 0.000, 0.000], [0.167, 0.333, 0.667], [0.667, 0.667, 0.333]]}

=====

Entry 17:
{"formula": "GdCuGe", "functional": "PBE-GGA", "state": "optimized geometry", "formation_enthalpy_0k_ev_per_atom": -0.55, "final_energy_ev_per_atom": -8.15, "lattice_angstrom": [[4.444, 0.000, 0.000], [2.222, 3.848, 0.000], [2.222, 1.283, 3.628]], "species": ["Ge", "Cu", "Gd"], "fractional_positions": [[0.000, 0.000, 0.000], [0.250, 0.250, 0.250], [0.500, 0.500, 0.500]]}

=====

Entry 18:
{"formula": "GdCuGe", "functional": "PBE-GGA", "state": "optimized geometry", "formation_enthalpy_0k_ev_per_atom": -0.16, "final_energy_ev_per_atom": -7.76, "lattice_angstrom": [[-3.380, -2.049, 0.138], [2.053, -3.375, 0.182], [0.687, 2.947, 3.920]], "species": ["Gd", "Ge", "Cu"], "fractional_positions": [[0.616, 0.616, 0.232], [0.965, 0.965, 0.931], [0.269, 0.269, 0.538]]}

=====

Entry 19:
{"formula": "GdHoCuGe", "functional": "PBE-GGA", "state": "optimized geometry", "formation_enthalpy_0k_ev_per_atom": -0.50, "final_energy_ev_per_atom": -7.34, "lattice_angstrom": [[-2.324, 4.397, -0.351], [-3.430, 1.283, 3.382], [0.979, 3.607, 3.299]], "species": ["Ge", "Ho", "Cu", "Gd"], "fractional_positions": [[0.250, 0.250, 0.250], [0.500, 0.500, 0.500], [0.750, 0.750, 0.750], [0.000, 0.000, 0.000]]}

=====

Entry 20:
{"formula": "LaGdCuGe", "functional": "PBE-GGA", "state": "optimized geometry", "formation_enthalpy_0k_ev_per_atom": -0.48, "final_energy_ev_per_atom": -7.41, "lattice_angstrom": [[5.141, 0.000, 0.000], [2.570, 4.452, 0.000], [2.570, 1.484, 4.197]], "species": ["La", "Cu", "Gd", "Ge"], "fractional_positions": [[0.500, 0.500, 0.500], [0.750, 0.750, 0.750], [0.000, 0.000, 0.000], [0.250, 0.250, 0.250]]}

=====

Entry 21:
{"formula": "GdLuCuGe", "functional": "PBE-GGA", "state": "optimized geometry", "formation_enthalpy_0k_ev_per_atom": -0.49, "final_energy_ev_per_atom": -7.32, "lattice_angstrom": [[-1.180, -2.907, 3.822], [3.337, -3.160, 1.825], [2.009, 0.820, 4.443]], "species": ["Lu", "Cu", "Gd", "Ge"], "fractional_positions": [[0.000, 0.000, 0.000], [0.750, 0.750, 0.750], [0.500, 0.500, 0.500], [0.250, 0.250, 0.250]]}

=====

Entry 22:
{"formula": "GdMgCuGe", "functional": "PBE-GGA", "state": "optimized geometry", "formation_enthalpy_0k_ev_per_atom": -0.38, "final_energy_ev_per_atom": -6.48, "lattice_angstrom": [[-2.107, 2.979, -3.154], [-0.260, -1.214, -4.660], [-4.251, -1.171, -1.953]], "species": ["Cu", "Ge", "Gd", "Mg"], "fractional_positions": [[0.000, 0.000, 0.000], [0.500, 0.500, 0.500], [0.750, 0.750, 0.750], [0.250, 0.250, 0.250]]}

=====

Entry 23:
{"formula": "GdPaCuGe", "functional": "PBE-GGA", "state": "optimized geometry", "formation_enthalpy_0k_ev_per_atom": -0.19, "final_energy_ev_per_atom": -8.26, "lattice_angstrom": [[-0.201, -2.926, -4.037], [-2.235, -4.454, 0.256], [-4.351, -0.745, -2.327]], "species": ["Pa", "Ge", "Cu", "Gd"], "fractional_positions": [[0.750, 0.750, 0.750], [0.000, 0.000, 0.000], [0.500, 0.500, 0.500], [0.250, 0.250, 0.250]]}

=====

Entry 24:
{"formula": "PrGdCuGe", "functional": "PBE-GGA", "state": "optimized geometry", "formation_enthalpy_0k_ev_per_atom": -0.47, "final_energy_ev_per_atom": -7.36, "lattice_angstrom": [[-4.453, -2.471, -0.381], [-1.050, -2.740, -4.180], [-0.120, -5.100, 0.253]], "species": ["Cu", "Pr", "Gd", "Ge"], "fractional_positions": [[0.750, 0.750, 0.750], [0.000, 0.000, 0.000], [0.500, 0.500, 0.500], [0.250, 0.250, 0.250]]}

=====

Entry 25:
{"formula": "Gd3CuGeS7", "functional": "PBE-GGA", "state": "optimized geometry", "final_energy_ev_per_atom": -8.11, "raw_formation_energy_ev_per_atom": -1.455, "lattice_angstrom": [[9.988, 0.000, 0.000], [-4.994, 8.650, 0.000], [0.000, 0.000, 5.840]], "species": ["Cu", "Cu", "S", "S", "S", "S", "S", "S", "S", "S", "S", "S", "S", "S", "S", "S", "Ge", "Ge", "Gd", "Gd", "Gd", "Gd", "Gd", "Gd"], "fractional_positions": [[0.000, 0.000, 0.701], [0.000, 0.000, 0.201], [0.256, 0.096, 0.718], [0.744, 0.904, 0.218], [0.580, 0.100, 0.992], [0.096, 0.839, 0.218], [0.333, 0.667, 0.955], [0.420, 0.900, 0.492], [0.839, 0.744, 0.718], [0.900, 0.481, 0.992], [0.904, 0.161, 0.718], [0.161, 0.256, 0.218], [0.481, 0.580, 0.492], [0.519, 0.420, 0.992], [0.667, 0.333, 0.455], [0.100, 0.519, 0.492], [0.333, 0.667, 0.333], [0.667, 0.333, 0.833], [0.643, 0.869, 0.750], [0.357, 0.131, 0.250], [0.869, 0.226, 0.250], [0.774, 0.643, 0.250], [0.226, 0.357, 0.750], [0.131, 0.774, 0.750]]}

=====

Number 1: size of the total moment 0.000 μB/atom. Number 2: size of the total moment 0.000 μB/atom. Number 3: size of the total moment 0.000 μB/atom. Number 4: size of the total moment 0.000 μB/atom. Number 5: size of the total moment 0.000 μB/atom. Number 6: size of the total moment 0.000 μB/atom. Number 7: size of the total moment 0.000 μB/atom. Number 8: size of the total moment 2.382 μB/atom. Number 9: size of the total moment 3.778 μB/atom. Number 10: size of the total moment 3.574 μB/atom. Number 11: size of the total moment 3.663 μB/atom. Number 12: size of the total moment 1.842 μB/atom. Number 13: size of the total moment 2.372 μB/atom. Number 14: size of the total moment 0.636 μB/atom. Number 15: size of the total moment 2.339 μB/atom. Number 16: size of the total moment 2.414 μB/atom. Number 17: size of the total moment 2.342 μB/atom. Number 18: size of the total moment 2.393 μB/atom. Number 19: size of the total moment 1.914 μB/atom. Number 20: size of the total moment 1.944 μB/atom. Number 21: size of the total moment 1.887 μB/atom. Number 22: size of the total moment 1.749 μB/atom. Number 23: size of the total moment 2.089 μB/atom. Number 24: size of the total moment 1.946 μB/atom. Number 25: size of the total moment 1.747 μB/atom.